# 1
Compound: Cs2SbI2
Source: Alexandria
Functional: PBE
Structure: relaxed

- E_form (uncorrected) (meV per atom) = -751
- M_tot (Bohr magnetons per cell) = 1.000
- SG = I4/mmm, No. 139
- DFT total energy (eV per cell) = -12.7
- distance to the lowest polymorph of the same formula (eV/atom) = 0.000

Lattice parameters (Å, degrees): 7.5487 7.5487 7.4228 59.44 59.44 90.00
With the nearest neighbours (Å) after each atom.
Fractional coordinates of all 5 atoms:
Sb (0.0000, 0.0000, 0.0000)  2 I 3.11
I (0.3015, 0.3015, 0.3970)  1 Sb 3.11
I (0.6985, 0.6985, 0.6030)  1 Sb 3.11
Cs (0.2500, 0.7500, 0.5000)  4 I 3.81
Cs (0.7500, 0.2500, 0.5000)  4 I 3.81

# 2
Compound: Sm6Dy3Y2Tm
Source: Alexandria
Functional: PBE
Structure: relaxed

- calculated formation energy (kJ per mole of atoms) = 1.4
- M_tot (Bohr magnetons per cell) = 0.000
- SG = C2/m, No. 12
- DFT total energy (eV per cell) = -59.4

Lattice parameters (Å, degrees): 6.2192 6.2192 11.8219 95.01 95.01 119.98
With the nearest neighbours (Å) after each atom.
Fractional coordinates of all 12 atoms:
Sm (0.2487, 0.2487, 0.7498)  1 Tm 3.57, 3 Dy 3.57-3.58, 2 Y 3.58, 6 Sm 3.58-3.60
Sm (0.0836, 0.4157, 0.2500)  1 Tm 3.57, 3 Dy 3.57-3.58, 2 Y 3.57-3.58, 6 Sm 3.58-3.60
Sm (0.9164, 0.5843, 0.7500)  1 Tm 3.57, 3 Dy 3.57-3.58, 2 Y 3.57-3.58, 6 Sm 3.58-3.60
Sm (0.7513, 0.7513, 0.2502)  1 Tm 3.57, 3 Dy 3.57-3.58, 2 Y 3.58, 6 Sm 3.58-3.60
Sm (0.4157, 0.0836, 0.2500)  1 Tm 3.57, 3 Dy 3.57-3.58, 2 Y 3.57-3.58, 6 Sm 3.58-3.60
Sm (0.5843, 0.9164, 0.7500)  1 Tm 3.57, 3 Dy 3.57-3.58, 2 Y 3.57-3.58, 6 Sm 3.58-3.60
Dy (0.8334, 0.1666, 0.5000)  6 Sm 3.57-3.58, 6 Dy 3.59
Dy (0.5000, 0.5000, 0.5000)  6 Sm 3.57-3.58, 6 Dy 3.59
Dy (0.1666, 0.8334, 0.5000)  6 Sm 3.57-3.58, 6 Dy 3.59
Tm (0.0000, 0.0000, 0.0000)  6 Sm 3.57, 6 Y 3.59
Y (0.6666, 0.3334, 0.0000)  6 Sm 3.57-3.58, 3 Y 3.59, 3 Tm 3.59
Y (0.3334, 0.6666, 0.0000)  6 Sm 3.57-3.58, 3 Y 3.59, 3 Tm 3.59

# 3
Compound: BeRu4
Source: Alexandria
Functional: PBE
Structure: relaxed

- calculated formation energy (kJ per mole of atoms) = 66.3
- M_tot (Bohr magnetons per cell) = 0.000
- SG = I4/mmm, No. 139
- DFT total energy (eV per cell) = -37.4
- distance to the lowest polymorph of the same formula (eV/atom) = 0.573

Lattice parameters (Å, degrees): 6.4118 6.4118 6.4118 147.13 147.13 47.16
With the nearest neighbours (Å) after each atom.
Fractional coordinates of all 5 atoms:
Ru (0.2500, 0.7500, 0.5000)  8 Ru 2.55-2.57
Ru (0.5976, 0.5976, 0.0000)  5 Ru 2.29-2.55
Ru (0.4024, 0.4024, 0.0000)  5 Ru 2.29-2.55
Ru (0.7500, 0.2500, 0.5000)  8 Ru 2.55-2.57
Be (0.0000, 0.0000, 0.0000)  8 Ru 2.81

# 4
Compound: Ga6IrRh2
Source: Alexandria
Functional: PBE
Structure: relaxed

- calculated formation energy (kJ per mole of atoms) = -34.7
- M_tot (Bohr magnetons per cell) = 0.000
- SG = P2_1/c, No. 14
- DFT total energy (eV per cell) = -89.9

Lattice parameters (Å, degrees): 5.1044 6.9665 8.1017 90.00 86.03 90.00
With the nearest neighbours (Å) after each atom.
Fractional coordinates of all 18 atoms:
Ga (0.6076, 0.4890, 0.2927)  1 Ir 2.47, 2 Rh 2.61-2.70, 1 Ga 2.74
Ga (0.5821, 0.1831, 0.5549)  1 Ir 2.50, 3 Rh 2.67-2.76, 1 Ga 2.74
Ga (0.0821, 0.3169, 0.0549)  1 Ir 2.50, 3 Rh 2.67-2.76, 1 Ga 2.74
Ga (0.4179, 0.8169, 0.4451)  1 Ir 2.50, 3 Rh 2.67-2.76, 1 Ga 2.74
Ga (0.8808, 0.6560, 0.5574)  1 Ir 2.51, 3 Rh 2.56-2.65, 1 Ga 2.63
Ga (0.1192, 0.3440, 0.4426)  1 Ir 2.51, 3 Rh 2.56-2.65, 1 Ga 2.63
Ga (0.3924, 0.5110, 0.7073)  1 Ir 2.47, 2 Rh 2.61-2.70, 1 Ga 2.74
Ga (0.8924, 0.9890, 0.2073)  1 Ir 2.47, 2 Rh 2.61-2.70, 1 Ga 2.74
Ga (0.6192, 0.1560, 0.9426)  1 Ir 2.51, 3 Rh 2.56-2.65, 1 Ga 2.63
Ga (0.1076, 0.0110, 0.7927)  1 Ir 2.47, 2 Rh 2.61-2.70, 1 Ga 2.74
Ga (0.3808, 0.8440, 0.0574)  1 Ir 2.51, 3 Rh 2.56-2.65, 1 Ga 2.63
Ga (0.9179, 0.6831, 0.9451)  1 Ir 2.50, 3 Rh 2.67-2.76, 1 Ga 2.74
Rh (0.4192, 0.1304, 0.2526)  8 Ga 2.56-2.76
Rh (0.9192, 0.3696, 0.7526)  8 Ga 2.56-2.76
Rh (0.0808, 0.6304, 0.2474)  8 Ga 2.56-2.76
Rh (0.5808, 0.8696, 0.7474)  8 Ga 2.56-2.76
Ir (0.0000, 0.0000, 0.5000)  6 Ga 2.47-2.51
Ir (0.5000, 0.5000, 0.0000)  6 Ga 2.47-2.51

# 5
Compound: La2ZnCo
Source: Alexandria
Functional: PBE
Structure: relaxed

- calculated formation energy (kJ per mole of atoms) = 6.6
- M_tot (Bohr magnetons per cell) = 0.000
- SG = I-42d, No. 122
- DFT total energy (eV per cell) = -35.9

Lattice parameters (Å, degrees): 7.8044 7.8044 6.4464 52.75 52.75 90.00
With the nearest neighbours (Å) after each atom.
Fractional coordinates of all 8 atoms:
Co (0.2500, 0.7500, 0.5000)  4 La 2.61
Co (0.5000, 0.5000, 0.0000)  4 La 2.61
Zn (0.7500, 0.2500, 0.5000)  8 La 3.19-3.52, 2 Co 3.33
Zn (0.0000, 0.0000, 0.0000)  8 La 3.19-3.52, 2 Co 3.33
La (0.1803, 0.6250, 0.2500)  2 Co 2.61
La (0.5697, 0.1250, 0.2500)  2 Co 2.61
La (0.8750, 0.8197, 0.7500)  2 Co 2.61
La (0.3750, 0.4303, 0.7500)  2 Co 2.61

# 6
Compound: Nd2TiSe4
Source: Alexandria
Functional: PBE
Structure: relaxed

- E_form (uncorrected) (meV per atom) = -1486
- M_tot (Bohr magnetons per cell) = 1.585
- SG = P2_1/m, No. 11
- DFT total energy (eV per cell) = -83.5

Lattice parameters (Å, degrees): 7.0641 6.6983 8.0427 90.00 106.43 90.00
With the nearest neighbours (Å) after each atom.
Fractional coordinates of all 14 atoms:
Nd (0.7308, 0.7500, 0.0581)  6 Se 3.02-3.08
Nd (0.2648, 0.2500, 0.4406)  6 Se 2.94-3.06
Nd (0.7352, 0.7500, 0.5594)  6 Se 2.94-3.06
Nd (0.2692, 0.2500, 0.9419)  6 Se 3.02-3.08
Se (0.9411, 0.2500, 0.6044)  1 Ti 2.40
Se (0.4902, 0.9941, 0.7455)  1 Ti 2.47
Se (0.5098, 0.0059, 0.2545)  1 Ti 2.47
Se (0.5098, 0.4941, 0.2545)  1 Ti 2.47
Se (0.9407, 0.2500, 0.1140)  1 Ti 2.42
Se (0.0589, 0.7500, 0.3956)  1 Ti 2.40
Se (0.0593, 0.7500, 0.8860)  1 Ti 2.42
Se (0.4902, 0.5059, 0.7455)  1 Ti 2.47
Ti (0.7533, 0.2500, 0.8115)  4 Se 2.40-2.47
Ti (0.2467, 0.7500, 0.1885)  4 Se 2.40-2.47

# 7
Compound: Cs12TlAu5
Source: Alexandria
Functional: PBE
Structure: relaxed

- calculated formation energy (kJ per mole of atoms) = -17.8
- M_tot (Bohr magnetons per cell) = 0.000
- SG = Immm, No. 71
- DFT total energy (eV per cell) = -32.3

Lattice parameters (Å, degrees): 11.1488 11.1488 11.1488 112.46 109.94 106.08
With the nearest neighbours (Å) after each atom.
Fractional coordinates of all 18 atoms:
Cs (0.6033, 0.7922, 0.8112)  2 Au 3.69-3.71
Cs (0.9810, 0.7922, 0.1888)  2 Au 3.69-3.71
Cs (0.8185, 0.6972, 0.5157)  2 Au 3.68
Cs (0.1815, 0.6972, 0.8786)  2 Au 3.68
Cs (0.0190, 0.2078, 0.8112)  2 Au 3.69-3.71
Cs (0.8185, 0.3028, 0.1214)  2 Au 3.68
Cs (0.3287, 0.0172, 0.6885)  3 Au 3.62-3.75
Cs (0.3967, 0.2078, 0.1888)  2 Au 3.69-3.71
Cs (0.6713, 0.9828, 0.3115)  3 Au 3.62-3.75
Cs (0.6713, 0.3598, 0.6885)  3 Au 3.62-3.75
Cs (0.3287, 0.6402, 0.3115)  3 Au 3.62-3.75
Cs (0.1815, 0.3028, 0.4843)  2 Au 3.68
Au (0.8897, 0.3897, 0.5000)  1 Au 2.96
Au (0.0000, 0.0000, 0.0000)  4 Cs 3.69
Au (0.6194, 0.0000, 0.6194)  1 Au 3.06
Au (0.1103, 0.6103, 0.5000)  1 Au 2.96
Au (0.3806, 0.0000, 0.3806)  1 Au 3.06
Tl (0.5000, 0.5000, 0.0000)  12 Cs 4.49-4.75

# 8
Compound: HfTi2Ga2
Source: Alexandria
Functional: PBE
Structure: relaxed

- calculated formation energy (kJ per mole of atoms) = 9.1
- M_tot (Bohr magnetons per cell) = 0.000
- SG = I4/mmm, No. 139
- DFT total energy (eV per cell) = -31.3
- distance to the lowest polymorph of the same formula (eV/atom) = 0.513

Lattice parameters (Å, degrees): 3.9563 3.9563 6.5621 72.46 72.46 90.00
With the nearest neighbours (Å) after each atom.
Fractional coordinates of all 5 atoms:
Ga (0.2500, 0.7500, 0.5000)  4 Ti 2.66, 4 Ga 2.80
Ga (0.7500, 0.2500, 0.5000)  4 Ti 2.66, 4 Ga 2.80
Ti (0.3998, 0.3998, 0.2003)  1 Ti 2.38, 4 Ga 2.66
Ti (0.6002, 0.6002, 0.7997)  1 Ti 2.38, 4 Ga 2.66
Hf (0.0000, 0.0000, 0.0000)  8 Ti 3.04

# 9
Compound: K2ZrCl
Source: Alexandria
Functional: PBE
Structure: relaxed

- E_form (uncorrected) (meV per atom) = -74
- M_tot (Bohr magnetons per cell) = 2.999
- SG = Imm2, No. 44
- DFT total energy (eV per cell) = -12.9
- distance to the lowest polymorph of the same formula (eV/atom) = 0.208

Lattice parameters (Å, degrees): 7.3486 7.3486 7.3486 152.21 126.82 61.06
With the nearest neighbours (Å) after each atom.
Fractional coordinates of all 4 atoms:
Zr (0.4342, 0.4342, 0.0000)  2 Cl 2.67
K (0.0540, 0.0540, 0.0000)  2 Cl 3.32, 2 K 3.53
K (0.7359, 0.2359, 0.5000)  2 K 3.53, 4 Cl 3.77
Cl (0.2760, 0.7760, 0.5000)  2 Zr 2.67

# 10
Compound: LiTlFe2Bi
Source: Alexandria
Functional: PBE
Structure: relaxed

- calculated formation energy (kJ per mole of atoms) = 82.1
- M_tot (Bohr magnetons per cell) = 5.231
- SG = P4/mmm, No. 123
- DFT total energy (eV per cell) = -20.8

Lattice parameters (Å, degrees): 5.0180 5.1073 5.0180 90.00 90.00 90.00
With the nearest neighbours (Å) after each atom.
Fractional coordinates of all 5 atoms:
Fe (0.5000, 0.0000, 0.0000)  2 Bi 2.51
Fe (0.0000, 0.0000, 0.5000)  2 Bi 2.51
Bi (0.0000, 0.0000, 0.0000)  4 Fe 2.51, 2 Li 2.55
Li (0.0000, 0.5000, 0.0000)  2 Bi 2.55
Tl (0.5000, 0.5000, 0.5000)  4 Li 3.55, 8 Fe 3.58

# 11
Compound: MgSc2Re
Source: Alexandria
Functional: PBE
Structure: relaxed

- calculated formation energy (kJ per mole of atoms) = -0.3
- M_tot (Bohr magnetons per cell) = 0.000
- SG = Cmmm, No. 65
- DFT total energy (eV per cell) = -26.7

Lattice parameters (Å, degrees): 3.0147 3.0147 9.4599 90.00 90.00 108.20
With the nearest neighbours (Å) after each atom.
Fractional coordinates of all 4 atoms:
Sc (0.0000, 0.0000, 0.9626)  2 Re 2.68
Sc (0.0000, 0.0000, 0.5374)  2 Re 2.68
Mg (0.5000, 0.5000, 0.2500)  4 Mg 3.01, 4 Sc 3.24
Re (0.5000, 0.5000, 0.7500)  4 Sc 2.68

# 12
Compound: Na3Tl4
Source: Alexandria
Functional: PBE
Structure: relaxed

- calculated formation energy (kJ per mole of atoms) = -8.7
- M_tot (Bohr magnetons per cell) = 0.000
- SG = R3m, No. 160
- DFT total energy (eV per cell) = -14.1
- distance to the lowest polymorph of the same formula (eV/atom) = 0.008

Lattice parameters (Å, degrees): 9.0806 9.0806 9.0806 34.19 34.19 34.19
With the nearest neighbours (Å) after each atom.
Fractional coordinates of all 7 atoms:
Na (0.0527, 0.0527, 0.0527)  6 Tl 3.17-3.19
Na (0.4837, 0.4837, 0.4837)  7 Tl 3.26-3.51, 1 Na 3.58
Na (0.6235, 0.6235, 0.6235)  7 Tl 3.27-3.52, 1 Na 3.58
Tl (0.2335, 0.2335, 0.2335)  4 Tl 3.15, 3 Na 3.41
Tl (0.8741, 0.8741, 0.8741)  4 Tl 3.15, 3 Na 3.41
Tl (0.7512, 0.7512, 0.7512)  4 Tl 3.15-3.46, 7 Na 3.19-3.51
Tl (0.3563, 0.3563, 0.3563)  4 Tl 3.15-3.46, 7 Na 3.17-3.52